#one
{"formula": "CaY2Cu", "functional": "GGA-PBEsol", "state": "optimized geometry", "density_g_cm3": 4.345, "cell": [[-1.3788, -2.1826, 2.2914], [3.1495, -0.6955, 1.2295], [-0.8257, 6.7526, 5.9351]], "species": ["Ca", "Y", "Y", "Cu"], "frac_coords": [[0.0000, 0.0000, 0.4409], [0.0000, 0.0000, 0.0567], [0.5000, 0.5000, 0.7731], [0.5000, 0.5000, 0.2292]]}


#two
{"formula": "CaY2Cu", "functional": "GGA-PBEsol", "state": "optimized geometry", "density_g_cm3": 4.223, "cell": [[3.4873, 0.0000, 0.0000], [0.0000, 3.4873, 0.0000], [0.0000, 0.0000, 9.1001]], "species": ["Y", "Ca", "Cu", "Y"], "frac_coords": [[0.0000, 0.0000, 0.6776], [0.5000, 0.5000, 0.0000], [0.5000, 0.5000, 0.5000], [0.0000, 0.0000, 0.3224]]}


Stability ranking, top entry: #two; the second entry is 21 meV per atom less favorable.


#one
{"formula": "CaY2Cu", "functional": "GGA-PBEsol", "state": "optimized geometry", "density_g_cm3": 4.619, "cell": [[-1.9092, 0.9140, 4.7829], [-4.4104, -2.3471, 1.5478], [0.1720, -3.7475, 3.6446]], "species": ["Y", "Cu", "Y", "Ca"], "frac_coords": [[0.7500, 0.7500, 0.7500], [0.5000, 0.5000, 0.5000], [0.2500, 0.2500, 0.2500], [0.0000, 0.0000, 0.0000]]}


#two
{"formula": "CaY2Cu", "functional": "GGA-PBEsol", "state": "optimized geometry", "density_g_cm3": 4.488, "cell": [[4.5256, 0.0000, 0.0000], [0.0000, 4.5256, 0.0000], [-2.2628, -2.2628, 5.0839]], "species": ["Ca", "Y", "Y", "Cu"], "frac_coords": [[0.0000, 0.0000, 0.0000], [0.2500, 0.7500, 0.5000], [0.7500, 0.2500, 0.5000], [0.5000, 0.5000, 0.0000]]}


Stability ranking, top entry: #one; the second entry is 35 meV per atom less favorable.


#one
{"formula": "CaEr2S4", "functional": "GGA-PBEsol", "state": "optimized geometry", "density_g_cm3": 5.314, "cell": [[3.8252, 0.0000, 0.0000], [-1.9126, 6.3149, 0.0000], [0.0000, 0.0000, 13.0110]], "species": ["S", "Ca", "Er", "Er", "S", "S", "S", "Er", "Ca", "Er", "S", "S", "S", "S"], "frac_coords": [[0.5418, 0.0837, 0.4995], [0.1130, 0.2260, 0.0125], [0.3594, 0.7189, 0.8232], [0.3721, 0.7442, 0.1819], [0.2784, 0.5569, 0.3714], [0.7341, 0.4681, 0.1350], [0.9898, 0.9797, 0.7438], [0.6279, 0.2558, 0.6819], [0.8870, 0.7740, 0.5125], [0.6406, 0.2811, 0.3232], [0.4582, 0.9163, 0.9995], [0.2659, 0.5319, 0.6350], [0.0102, 0.0203, 0.2438], [0.7216, 0.4431, 0.8714]]}


#two
{"formula": "CaEr2S4", "functional": "GGA-PBEsol", "state": "optimized geometry", "density_g_cm3": 5.331, "cell": [[3.8249, 0.0000, 0.0000], [0.0000, 12.7136, 0.0000], [0.0000, 0.0000, 12.8832]], "species": ["S", "Ca", "S", "Er", "Ca", "Er", "Er", "S", "S", "S", "Er", "S", "S", "Ca", "S", "S", "S", "S", "S", "S", "S", "Er", "S", "Er", "S", "Ca", "Er", "Er"], "frac_coords": [[0.2500, 0.9708, 0.8821], [0.2500, 0.8682, 0.0824], [0.7500, 0.7823, 0.2362], [0.2500, 0.1062, 0.5850], [0.7500, 0.6318, 0.5824], [0.7500, 0.3938, 0.0850], [0.7500, 0.3532, 0.7021], [0.7500, 0.7414, 0.9742], [0.2500, 0.0361, 0.3829], [0.2500, 0.2586, 0.0258], [0.2500, 0.6468, 0.2979], [0.7500, 0.5292, 0.3821], [0.2500, 0.7586, 0.4742], [0.2500, 0.3682, 0.4176], [0.7500, 0.2823, 0.2638], [0.2500, 0.7177, 0.7362], [0.2500, 0.4708, 0.6179], [0.7500, 0.4639, 0.8829], [0.7500, 0.9639, 0.6171], [0.2500, 0.5361, 0.1171], [0.7500, 0.2414, 0.5258], [0.7500, 0.8532, 0.7979], [0.2500, 0.2177, 0.7638], [0.7500, 0.8938, 0.4150], [0.7500, 0.0292, 0.1179], [0.7500, 0.1318, 0.9176], [0.2500, 0.1468, 0.2021], [0.2500, 0.6062, 0.9150]]}


Stability ranking, top entry: #two; the second entry is 14 meV per atom less favorable.